The following is a DFT calculation (PBE+U) of a relaxed KCrIO6 crystal.

Spin magnetization (μB per formula unit): 0.039
E_tot (Ry per atom): -0.4011
Space group: P2_1/c (14)

The structure in POSCAR format:
```
KCrIO6
1.0
9.5896 0.0000 0.0000
0.0000 4.7921 0.0000
-4.5033 0.0000 13.6320
K Cr I O
4 4 4 24
Direct
0.1066 0.1011 0.1602
0.1066 0.3989 0.6602
0.8934 0.6011 0.3398
0.8934 0.8989 0.8398
0.2247 0.5298 0.9663
0.2247 0.9702 0.4663
0.7753 0.0298 0.5337
0.7753 0.4702 0.0337
0.4307 0.6772 0.3329
0.4307 0.8228 0.8329
0.5693 0.1772 0.1671
0.5693 0.3228 0.6671
0.1226 0.0977 0.3619
0.1226 0.4023 0.8619
0.1266 0.7464 0.0069
0.1266 0.7536 0.5069
0.2495 0.5993 0.2536
0.2495 0.9007 0.7536
0.2904 0.2176 0.5471
0.2904 0.2824 0.0471
0.3801 0.7162 0.9489
0.3801 0.7838 0.4489
0.4490 0.0323 0.2892
0.4490 0.4677 0.7892
0.5510 0.5323 0.2108
0.5510 0.9677 0.7108
0.6199 0.2162 0.5511
0.6199 0.2838 0.0511
0.7096 0.7176 0.9529
0.7096 0.7824 0.4529
0.7505 0.0993 0.2464
0.7505 0.4007 0.7464
0.8734 0.2464 0.4931
0.8734 0.2536 0.9931
0.8774 0.5977 0.1381
0.8774 0.9023 0.6381
```